# 1
12
Lattice="-6.2659 1.8597 -0.3119 -0.6355 -1.7041 2.6054 4.8827 6.1111 5.1880" Properties=species:S:1:pos:R:3 comment="PBE-GGA VNiHg, optimized geometry" crystal_system=monoclinic space_group="Cm (8)" magnetic_moment_mub_per_fu=0.00 volume_a3_per_atom=15.30 delta_e_f_mev_per_atom=205 e_tot_ev_per_atom=-4.863 de_polymorph_ev_per_atom=0.0411 pbc="T T T"
Hg -4.0243 3.3615 1.2171
Hg 0.6113 7.1041 4.7957
Hg -1.9006 5.5649 5.1138
Hg -2.1478 3.1965 3.5044
V -0.6207 2.2694 1.3329
V 1.5030 4.4728 5.2296
V 2.5665 3.9237 3.1924
V -0.1926 0.0162 1.9011
Ni 3.3544 6.2298 4.8929
Ni -2.6436 0.8349 1.8388
Ni 0.5954 2.3222 3.6016
Ni 0.1155 4.7425 3.1301

# 2
12
Lattice="6.2139 0.0000 -0.0011 0.0000 2.8700 0.0000 -2.9704 0.0000 10.2098" Properties=species:S:1:pos:R:3 comment="PBE-GGA VNiHg, optimized geometry" crystal_system=monoclinic space_group="C2/m (12)" magnetic_moment_mub_per_fu=0.00 volume_a3_per_atom=15.17 delta_e_f_mev_per_atom=163 e_tot_ev_per_atom=-4.904 de_polymorph_ev_per_atom=0.0000 pbc="T T T"
Ni -1.0890 0.0000 10.1049
Ni 0.3962 1.4350 5.0000
Ni 4.3325 0.0000 0.1038
Ni 2.8473 1.4350 5.2087
V 0.2607 1.4350 8.5424
V 1.4976 0.0000 6.7712
V 2.9828 1.4350 1.6663
V 1.7459 0.0000 3.4375
Hg 4.6437 0.0000 3.5986
Hg 3.1585 1.4350 8.7035
Hg -1.4002 0.0000 6.6101
Hg 0.0850 1.4350 1.5052